No. 1
This record from the Alexandria database describes a geometry-optimized Tl2InSnI5 structure. The functional is GGA-PBE.

a = 10.3974 Å, b = 10.3974 Å, c = 17.9911 Å
α = 90.00°, β = 90.00°, γ = 153.98°
Closest atoms and distances in Å follow each position.
Sites, in units of the cell vectors:
Tl 0.0590 0.9410 0.5000  6 I 3.51-3.61
Tl 0.1458 0.8542 0.1012  6 I 3.42-3.73
Tl 0.8542 0.1458 0.6012  6 I 3.42-3.73
Tl 0.9410 0.0590 0.0000  6 I 3.51-3.61
In 0.4383 0.5617 0.2863  5 I 3.34-3.59
In 0.5617 0.4383 0.7863  5 I 3.34-3.59
Sn 0.2564 0.7436 0.8811  6 I 3.10-3.30
Sn 0.7436 0.2564 0.3811  6 I 3.10-3.30
I 0.0961 0.9039 0.9132  1 Sn 3.30, 2 In 3.34, 2 Tl 3.51-3.53
I 0.2371 0.7629 0.5085  2 Sn 3.28, 1 Tl 3.61
I 0.2625 0.7375 0.2609  2 Sn 3.21, 1 In 3.59
I 0.4081 0.5919 0.8595  1 Sn 3.10, 1 In 3.38
I 0.4765 0.5235 0.6147  4 Tl 3.42-3.54, 1 In 3.54
I 0.5235 0.4765 0.1147  4 Tl 3.42-3.54, 1 In 3.54
I 0.5919 0.4081 0.3595  1 Sn 3.10, 1 In 3.38
I 0.7375 0.2625 0.7609  2 Sn 3.21, 1 In 3.59
I 0.7629 0.2371 0.0085  2 Sn 3.28, 1 Tl 3.61
I 0.9039 0.0961 0.4132  1 Sn 3.30, 2 In 3.34, 2 Tl 3.51-3.53

## Properties
E_form (uncorrected) = -4.9 eV per formula unit

=====

No. 2
This record from the Alexandria database describes a geometry-optimized Re2Ag structure. The functional is GGA-PBE.

a = 2.7890 Å, b = 2.7890 Å, c = 7.0880 Å
α = 90.00°, β = 90.00°, γ = 120.00°
Closest atoms and distances in Å follow each position.
Sites, in units of the cell vectors:
Re 0.3333 0.6667 0.3533  9 Re 2.63-2.79
Re 0.6667 0.3333 0.6467  9 Re 2.63-2.79
Ag 0.0000 0.0000 0.0000  6 Ag 2.79, 6 Re 2.98

## Properties
Relative energy among the computed polymorphs = 0.000 eV/atom
Energy of formation = 0.309 eV per atom

=====

No. 3
This record from the Alexandria database describes a geometry-optimized CaAlGa2 structure. The functional is GGA-PBE.

a = 4.7353 Å, b = 4.7353 Å, c = 17.8946 Å
α = 90.00°, β = 90.00°, γ = 90.00°
Closest atoms and distances in Å follow each position.
Sites, in units of the cell vectors:
Ca 0.0000 0.0000 0.0000  4 Ga 3.12, 4 Al 3.35
Ca 0.0000 0.5000 0.2500  4 Ga 3.12, 4 Al 3.35
Ca 0.5000 0.0000 0.7500  4 Ga 3.12, 4 Al 3.35
Ca 0.5000 0.5000 0.5000  4 Ga 3.12, 4 Al 3.35
Al 0.0000 0.0000 0.5000  4 Ga 2.59
Al 0.0000 0.5000 0.7500  4 Ga 2.59
Al 0.5000 0.0000 0.2500  4 Ga 2.59
Al 0.5000 0.5000 0.0000  4 Ga 2.59
Ga 0.1142 0.2500 0.6250  2 Al 2.59, 2 Ga 2.60
Ga 0.2500 0.6142 0.8750  2 Al 2.59, 2 Ga 2.60
Ga 0.2500 0.8858 0.3750  2 Al 2.59, 2 Ga 2.60
Ga 0.3858 0.2500 0.1250  2 Al 2.59, 2 Ga 2.60
Ga 0.6142 0.7500 0.1250  2 Al 2.59, 2 Ga 2.60
Ga 0.7500 0.1142 0.3750  2 Al 2.59, 2 Ga 2.60
Ga 0.7500 0.3858 0.8750  2 Al 2.59, 2 Ga 2.60
Ga 0.8858 0.7500 0.6250  2 Al 2.59, 2 Ga 2.60

## Properties
Energy of formation = -0.085 eV per atom

=====

No. 4
This record from the Alexandria database describes a geometry-optimized LaZr2Cl structure. The functional is GGA-PBE.

a = 7.2507 Å, b = 7.2507 Å, c = 7.2507 Å
α = 90.00°, β = 90.00°, γ = 90.00°
Closest atoms and distances in Å follow each position.
Sites, in units of the cell vectors:
La 0.0000 0.0000 0.0000  8 Zr 3.14
La 0.0000 0.5000 0.5000  8 Zr 3.14
La 0.5000 0.0000 0.5000  8 Zr 3.14
La 0.5000 0.5000 0.0000  8 Zr 3.14
Zr 0.2500 0.2500 0.2500  4 Cl 3.14, 4 La 3.14
Zr 0.2500 0.2500 0.7500  4 Cl 3.14, 4 La 3.14
Zr 0.2500 0.7500 0.2500  4 Cl 3.14, 4 La 3.14
Zr 0.2500 0.7500 0.7500  4 Cl 3.14, 4 La 3.14
Zr 0.7500 0.2500 0.2500  4 Cl 3.14, 4 La 3.14
Zr 0.7500 0.2500 0.7500  4 Cl 3.14, 4 La 3.14
Zr 0.7500 0.7500 0.2500  4 Cl 3.14, 4 La 3.14
Zr 0.7500 0.7500 0.7500  4 Cl 3.14, 4 La 3.14
Cl 0.0000 0.0000 0.5000  8 Zr 3.14
Cl 0.0000 0.5000 0.0000  8 Zr 3.14
Cl 0.5000 0.0000 0.0000  8 Zr 3.14
Cl 0.5000 0.5000 0.5000  8 Zr 3.14

## Properties
Relative energy among the computed polymorphs = 0.831 eV/atom
E_form (uncorrected) = 1.8 eV per formula unit

=====

No. 5
This record from the Alexandria database describes a geometry-optimized K3Dy3ThSe8 structure. The functional is GGA-PBE.

a = 9.1908 Å, b = 9.1908 Å, c = 9.1908 Å
α = 54.54°, β = 54.54°, γ = 54.54°
Closest atoms and distances in Å follow each position.
Sites, in units of the cell vectors:
K 0.0000 0.5000 0.5000  6 Se 3.36-3.37
K 0.5000 0.0000 0.5000  6 Se 3.36-3.37
K 0.5000 0.5000 0.0000  6 Se 3.36-3.37
Dy 0.0000 0.0000 0.5000  6 Se 2.89-2.90
Dy 0.0000 0.5000 0.0000  6 Se 2.89-2.90
Dy 0.5000 0.0000 0.0000  6 Se 2.89-2.90
Th 0.5000 0.5000 0.5000  6 Se 2.93
Se 0.2306 0.7364 0.7364  2 Dy 2.89, 1 Th 2.93
Se 0.2344 0.2344 0.2344  3 Dy 2.90
Se 0.2636 0.2636 0.7694  2 Dy 2.89, 1 Th 2.93
Se 0.2636 0.7694 0.2636  2 Dy 2.89, 1 Th 2.93
Se 0.7364 0.2306 0.7364  2 Dy 2.89, 1 Th 2.93
Se 0.7364 0.7364 0.2306  2 Dy 2.89, 1 Th 2.93
Se 0.7656 0.7656 0.7656  3 Dy 2.90
Se 0.7694 0.2636 0.2636  2 Dy 2.89, 1 Th 2.93

## Properties
E_form (uncorrected) = -26.4 eV per formula unit

=====

No. 6
This record from the Alexandria database describes a geometry-optimized La2Si3AgAu12 structure. The functional is GGA-PBE.

a = 7.8672 Å, b = 7.8672 Å, c = 7.8672 Å
α = 70.02°, β = 70.02°, γ = 70.02°
Closest atoms and distances in Å follow each position.
Sites, in units of the cell vectors:
La 0.1070 0.1070 0.1070  3 Au 2.95
La 0.8930 0.8930 0.8930  3 Au 2.95
Si 0.0000 0.5000 0.5000  6 Au 2.44-2.51
Si 0.5000 0.0000 0.5000  6 Au 2.44-2.51
Si 0.5000 0.5000 0.0000  6 Au 2.44-2.51
Ag 0.5000 0.5000 0.5000  6 Au 2.75
Au 0.1256 0.6442 0.6442  1 Si 2.44
Au 0.1894 0.1894 0.6479  2 Si 2.51
Au 0.1894 0.6479 0.1894  2 Si 2.51
Au 0.3521 0.8106 0.8106  2 Si 2.51
Au 0.3558 0.3558 0.8744  1 Si 2.44
Au 0.3558 0.8744 0.3558  1 Si 2.44
Au 0.6442 0.1256 0.6442  1 Si 2.44
Au 0.6442 0.6442 0.1256  1 Si 2.44
Au 0.6479 0.1894 0.1894  2 Si 2.51
Au 0.8106 0.3521 0.8106  2 Si 2.51
Au 0.8106 0.8106 0.3521  2 Si 2.51
Au 0.8744 0.3558 0.3558  1 Si 2.44

## Properties
E_form (uncorrected) = -1.9 eV per formula unit

=====

No. 7
This record from the Alexandria database describes a geometry-optimized ZnCrIN2 structure. The functional is GGA-PBE.

a = 3.8704 Å, b = 3.8704 Å, c = 5.8209 Å
α = 90.00°, β = 90.00°, γ = 90.00°
Closest atoms and distances in Å follow each position.
Sites, in units of the cell vectors:
Zn 0.0000 0.0000 0.0000  4 N 1.94
Cr 0.5000 0.5000 0.5000  4 I 2.74
I 0.0000 0.0000 0.5000  4 Cr 2.74, 2 Zn 2.91
N 0.0000 0.5000 0.0000  2 Zn 1.94
N 0.5000 0.0000 0.0000  2 Zn 1.94

## Properties
Relative energy among the computed polymorphs = 1.341 eV/atom
E_form (uncorrected) = 10.0 eV per formula unit

=====

No. 8
This record from the Alexandria database describes a geometry-optimized PrHoRh structure. The functional is GGA-PBE.

a = 4.7341 Å, b = 4.8073 Å, c = 7.0894 Å
α = 90.00°, β = 98.01°, γ = 90.00°
Closest atoms and distances in Å follow each position.
Sites, in units of the cell vectors:
Pr 0.2358 0.2500 0.3893  1 Rh 2.81
Pr 0.7642 0.7500 0.6107  1 Rh 2.81
Ho 0.2645 0.7500 0.0077  4 Rh 2.73-2.91
Ho 0.7355 0.2500 0.9923  4 Rh 2.73-2.91
Rh 0.1699 0.2500 0.7767  4 Ho 2.73-2.91, 1 Pr 2.81
Rh 0.8301 0.7500 0.2233  4 Ho 2.73-2.91, 1 Pr 2.81

## Properties
Relative energy among the computed polymorphs = 0.015 eV/atom
Energy of formation = -0.563 eV per atom

=====

What did the first record say?
This record from the Alexandria database describes a geometry-optimized Tl2InSnI5 structure. The functional is GGA-PBE.

a = 10.3974 Å, b = 10.3974 Å, c = 17.9911 Å
α = 90.00°, β = 90.00°, γ = 153.98°
Closest atoms and distances in Å follow each position.
Sites, in units of the cell vectors:
Tl 0.0590 0.9410 0.5000  6 I 3.51-3.61
Tl 0.1458 0.8542 0.1012  6 I 3.42-3.73
Tl 0.8542 0.1458 0.6012  6 I 3.42-3.73
Tl 0.9410 0.0590 0.0000  6 I 3.51-3.61
In 0.4383 0.5617 0.2863  5 I 3.34-3.59
In 0.5617 0.4383 0.7863  5 I 3.34-3.59
Sn 0.2564 0.7436 0.8811  6 I 3.10-3.30
Sn 0.7436 0.2564 0.3811  6 I 3.10-3.30
I 0.0961 0.9039 0.9132  1 Sn 3.30, 2 In 3.34, 2 Tl 3.51-3.53
I 0.2371 0.7629 0.5085  2 Sn 3.28, 1 Tl 3.61
I 0.2625 0.7375 0.2609  2 Sn 3.21, 1 In 3.59
I 0.4081 0.5919 0.8595  1 Sn 3.10, 1 In 3.38
I 0.4765 0.5235 0.6147  4 Tl 3.42-3.54, 1 In 3.54
I 0.5235 0.4765 0.1147  4 Tl 3.42-3.54, 1 In 3.54
I 0.5919 0.4081 0.3595  1 Sn 3.10, 1 In 3.38
I 0.7375 0.2625 0.7609  2 Sn 3.21, 1 In 3.59
I 0.7629 0.2371 0.0085  2 Sn 3.28, 1 Tl 3.61
I 0.9039 0.0961 0.4132  1 Sn 3.30, 2 In 3.34, 2 Tl 3.51-3.53

## Properties
E_form (uncorrected) = -4.9 eV per formula unit